[1]
A plane-wave DFT calculation with PBE was carried out for a relaxed structure of MnTc2Mo.

POSCAR file:
```
MnTc2Mo
1.0
4.713 -0.012 0.000
1.569 4.444 0.000
-3.141 -2.216 2.727
Tc Mo Mn
2 1 1
direct
0.500 0.500 0.000
0.000 0.000 0.000
0.750 0.250 0.500
0.250 0.750 0.500
```

Properties
- SG: I4/mmm, No. 139

***

[2]
A plane-wave DFT calculation with PBE was carried out for a relaxed structure of MnTc2Mo.

POSCAR file:
```
MnTc2Mo
1.0
5.081 -0.059 0.062
-2.313 4.594 0.006
-0.961 -1.593 4.970
Tc Mo Mn
4 2 2
direct
0.385 0.874 0.703
0.881 0.860 0.948
0.372 0.354 0.444
0.889 0.359 0.686
0.383 0.368 0.952
0.379 0.861 0.204
0.876 0.845 0.446
0.876 0.355 0.193
```

Properties
- SG: P1, No. 1

***

[3]
A plane-wave DFT calculation with PBE was carried out for a relaxed structure of MnTcMo.

POSCAR file:
```
MnTcMo
1.0
-1.988 5.848 2.405
-3.219 5.611 0.056
-1.786 -0.597 1.883
Mo Tc Mn
1 1 1
direct
0.662 0.662 0.338
0.340 0.340 0.660
0.998 0.998 0.002
```

Properties
- SG: Fmm2, No. 42
- Excess energy over the best structure of this formula in the dataset: 17 meV per atom

***

[4]
A plane-wave DFT calculation with PBE was carried out for a relaxed structure of MnTc2Mo.

POSCAR file:
```
MnTc2Mo
1.0
-2.347 -2.044 -0.173
1.414 -1.802 2.115
-2.847 2.897 4.372
Tc Mn Mo
2 1 1
direct
0.000 0.000 0.008
0.000 0.000 0.492
0.500 0.500 0.250
0.500 0.500 0.750
```

Properties
- SG: P4/mmm, No. 123

***

| no. | formation enthalpy at 0 K (kJ per mole of atoms) |
| --- | --- |
| 1 | 15 |
| 2 | 9 |
| 3 | 10 |
| 4 | 5 |